(1)
VASP calculation (PBE) on a relaxed ZnSnTeO crystal.

```
data_ZnSnTeO
_space_group_name_H-M_alt 'P 4/n m m'
_space_group_IT_number 129
_cell_length_a 4.2122
_cell_length_b 4.2122
_cell_length_c 8.9931
_cell_angle_alpha 90.00
_cell_angle_beta 90.00
_cell_angle_gamma 90.00
loop_
_space_group_symop_operation_xyz
'x,y,z'
'-x,-y,-z'
'-y+1/2,x,z'
'y+1/2,-x,-z'
'-x+1/2,-y+1/2,z'
'x+1/2,y+1/2,-z'
'y,-x+1/2,z'
'-y,x+1/2,-z'
'x+1/2,-y,-z'
'-x+1/2,y,z'
'-y,-x,-z'
'y,x,z'
'-x,y+1/2,-z'
'x,-y+1/2,z'
'y+1/2,x+1/2,-z'
'-y+1/2,-x+1/2,z'
loop_
_atom_site_label
_atom_site_type_symbol
_atom_site_fract_x
_atom_site_fract_y
_atom_site_fract_z
_atom_site_occupancy
Zn1 Zn 0.2500 0.2500 0.0428 1
Sn1 Sn 0.2500 0.2500 0.7124 1
Te1 Te 0.2500 0.2500 0.3632 1
O1 O 0.2500 0.7500 0.0000 1
```

(2)
VASP calculation (PBE) on a relaxed ZnSnTeO crystal.

```
data_ZnSnTeO
_space_group_name_H-M_alt 'P 4/n m m'
_space_group_IT_number 129
_cell_length_a 5.3073
_cell_length_b 5.3073
_cell_length_c 7.0917
_cell_angle_alpha 90.00
_cell_angle_beta 90.00
_cell_angle_gamma 90.00
loop_
_space_group_symop_operation_xyz
'x,y,z'
'-x,-y,-z'
'-y+1/2,x,z'
'y+1/2,-x,-z'
'-x+1/2,-y+1/2,z'
'x+1/2,y+1/2,-z'
'y,-x+1/2,z'
'-y,x+1/2,-z'
'x+1/2,-y,-z'
'-x+1/2,y,z'
'-y,-x,-z'
'y,x,z'
'-x,y+1/2,-z'
'x,-y+1/2,z'
'y+1/2,x+1/2,-z'
'-y+1/2,-x+1/2,z'
loop_
_atom_site_label
_atom_site_type_symbol
_atom_site_fract_x
_atom_site_fract_y
_atom_site_fract_z
_atom_site_occupancy
Zn1 Zn 0.2500 0.2500 0.1437 1
Sn1 Sn 0.2500 0.2500 0.6847 1
Te1 Te 0.2500 0.7500 0.0000 1
O1 O 0.2500 0.2500 0.4097 1
```

(3)
VASP calculation (PBE) on a relaxed ZnSnTeO crystal.

```
data_ZnSnTeO
_space_group_name_H-M_alt 'P 21 21 21'
_space_group_IT_number 19
_space_group_name_Hall 'P 2ac 2ab'
_cell_length_a 5.7429
_cell_length_b 7.0673
_cell_length_c 9.4292
_cell_angle_alpha 90.00
_cell_angle_beta 90.00
_cell_angle_gamma 90.00
loop_
_atom_site_label
_atom_site_type_symbol
_atom_site_fract_x
_atom_site_fract_y
_atom_site_fract_z
_atom_site_occupancy
Zn1 Zn 0.0024 0.2150 0.4015 1
Sn1 Sn 0.0632 0.1417 0.9765 1
Te1 Te 0.2489 0.4959 0.2592 1
O1 O 0.2223 0.8842 0.9985 1
```

Here are the calculated electronic total energy numbers, same order: -31.36 -30.34 -64.58 (eV per cell).